Compound: SrAs2W
Source: the Alexandria database
Functional: PBE-GGA
Structure: optimized geometry

abc: 6.9311 6.9311 6.9311
angles: 90.00 90.00 90.00
With the nearest neighbours (Å) after each atom.
Space group F-43m (No. 216)
Inequivalent atoms, fractional coordinates:
Sr: 0.0000 0.0000 0.0000 [4 per cell]  4 As 3.00, 4 W 3.00
As: 0.0000 0.0000 0.5000 [4 per cell]  4 W 3.00, 4 As 3.00
As: 0.2500 0.2500 0.7500 [4 per cell]  4 As 3.00, 4 Sr 3.00
W: 0.2500 0.2500 0.2500 [4 per cell]  4 As 3.00, 4 Sr 3.00

Results
As for the energy above the most stable polymorph in this dataset: 438 kJ/mol of formula units. The density comes out at 8.40 g/cm3. As for the formation energy: 80.1 kJ per mole of atoms. As for the crystal system: cubic.